[1]
Sm3GaAg2: optimized geometry, PBE.

Cell and atoms, written as CIF:
```
data_Sm3GaAg2
_cell_length_a 3.676
_cell_length_b 3.676
_cell_length_c 11.144
_cell_angle_alpha 90.00
_cell_angle_beta 90.00
_cell_angle_gamma 90.00
_space_group_name_H-M_alt 'P 4/m m m'
_space_group_IT_number 123
_space_group_name_Hall '-P 4 2'
loop_
_atom_site_label
_atom_site_type_symbol
_atom_site_fract_x
_atom_site_fract_y
_atom_site_fract_z
_atom_site_occupancy
Sm1 Sm 0.000 0.000 0.000 1
Sm2 Sm 0.000 0.000 0.340 1
Ga1 Ga 0.500 0.500 0.500 1
Ag1 Ag 0.500 0.500 0.170 1
```

ΔE_f = -379.1 meV/atom
total magnetization = 0.000 μB/f.u.
energy relative to the lowest polymorph listed for this composition = 0 meV per atom
Fermi-level density of states = 4.9 states/eV per cell

[2]
BaSnO2: optimized geometry, PBE.

Cell and atoms, written as CIF:
```
data_BaSnO2
_cell_length_a 14.056
_cell_length_b 4.472
_cell_length_c 6.304
_cell_angle_alpha 90.00
_cell_angle_beta 90.00
_cell_angle_gamma 90.00
_space_group_name_H-M_alt 'P n m a'
_space_group_IT_number 62
loop_
_space_group_symop_operation_xyz
'x,y,z'
'-x,-y,-z'
'-x+1/2,-y,z+1/2'
'x+1/2,y,-z+1/2'
'x+1/2,-y+1/2,-z+1/2'
'-x+1/2,y+1/2,z+1/2'
'-x,y+1/2,-z'
'x,-y+1/2,z'
loop_
_atom_site_label
_atom_site_type_symbol
_atom_site_fract_x
_atom_site_fract_y
_atom_site_fract_z
_atom_site_occupancy
Ba1 Ba 0.183 0.250 0.001 1
Sn1 Sn 0.062 0.750 0.501 1
O1 O 0.154 0.750 0.743 1
O2 O 0.155 0.750 0.259 1
```

formation energy from raw total energies = -1915 meV per atom
total magnetization = 0.000 μB/f.u.
Fermi-level density of states = 0.7 states/eV per cell

[3]
In2Hg2Pb7: optimized geometry, PBE.

Cell and atoms, written as CIF:
```
data_In2Hg2Pb7
_cell_length_a 9.394
_cell_length_b 10.831
_cell_length_c 7.143
_cell_angle_alpha 90.00
_cell_angle_beta 90.00
_cell_angle_gamma 90.00
_space_group_name_H-M_alt 'C m m m'
_space_group_IT_number 65
_space_group_name_Hall '-C 2 2'
loop_
_atom_site_label
_atom_site_type_symbol
_atom_site_fract_x
_atom_site_fract_y
_atom_site_fract_z
_atom_site_occupancy
In1 In 0.163 0.000 0.000 1
Hg1 Hg 0.000 0.285 0.500 1
Pb1 Pb 0.000 0.000 0.500 1
Pb2 Pb 0.000 0.500 0.223 1
Pb3 Pb 0.250 0.250 0.233 1
```

ΔE_f = 138.0 meV/atom
total magnetization = 0.000 μB/f.u.
energy relative to the lowest polymorph listed for this composition = 95 meV per atom
Fermi-level density of states = 13.2 states/eV per cell

[4]
Gd2TeS: optimized geometry, PBE.

Cell and atoms, written as CIF:
```
data_Gd2TeS
_cell_length_a 4.1331
_cell_length_b 4.1331
_cell_length_c 21.0238
_cell_angle_alpha 90.00
_cell_angle_beta 90.00
_cell_angle_gamma 120.00
_space_group_name_H-M_alt 'R -3 m'
_space_group_IT_number 166
_space_group_name_Hall '-R 3 2"'
loop_
_atom_site_label
_atom_site_type_symbol
_atom_site_fract_x
_atom_site_fract_y
_atom_site_fract_z
_atom_site_occupancy
Gd1 Gd 0.0000 0.0000 0.2358 1
Te1 Te 0.0000 0.0000 0.0000 1
S1 S 0.0000 0.0000 0.5000 1
```

formation energy from raw total energies = -1733 meV per atom
total magnetization = 13.839 μB/f.u.
Fermi-level density of states = 7.5 states/eV per cell

[5]
PrThGe2: optimized geometry, PBE.

Cell and atoms, written as CIF:
```
data_PrThGe2
_cell_length_a 4.189
_cell_length_b 6.015
_cell_length_c 8.185
_cell_angle_alpha 90.00
_cell_angle_beta 90.00
_cell_angle_gamma 90.00
_space_group_name_H-M_alt 'P m c 21'
_space_group_IT_number 26
loop_
_space_group_symop_operation_xyz
'x,y,z'
'-x,-y,z+1/2'
'-x,y,z'
'x,-y,z+1/2'
loop_
_atom_site_label
_atom_site_type_symbol
_atom_site_fract_x
_atom_site_fract_y
_atom_site_fract_z
_atom_site_occupancy
Pr1 Pr 0.000 0.125 0.000 1
Th1 Th 0.500 0.375 0.364 1
Ge1 Ge 0.000 0.396 0.641 1
Ge2 Ge 0.500 0.110 0.722 1
```

ΔE_f = -769.1 meV/atom
total magnetization = 0.000 μB/f.u.
Fermi-level density of states = 4.8 states/eV per cell

[6]
Tb2NdErAs4: optimized geometry, PBE.

Cell and atoms, written as CIF:
```
data_Tb2NdErAs4
_cell_length_a 7.202
_cell_length_b 4.162
_cell_length_c 7.204
_cell_angle_alpha 90.00
_cell_angle_beta 109.47
_cell_angle_gamma 90.00
_space_group_name_H-M_alt 'P 1 2/m 1'
_space_group_IT_number 10
loop_
_space_group_symop_operation_xyz
'x,y,z'
'-x,-y,-z'
'-x,y,-z'
'x,-y,z'
loop_
_atom_site_label
_atom_site_type_symbol
_atom_site_fract_x
_atom_site_fract_y
_atom_site_fract_z
_atom_site_occupancy
Tb1 Tb 0.000 0.000 0.000 1
Tb2 Tb 0.500 0.500 0.000 1
Nd1 Nd 0.000 0.500 0.500 1
Er1 Er 0.500 0.000 0.500 1
As1 As 0.255 0.500 0.250 1
As2 As 0.257 0.000 0.754 1
```

ΔE_f = -1519.7 meV/atom
total magnetization = 0.000 μB/f.u.
Fermi-level density of states = 0.8 states/eV per cell